The following is a PBE calculation of a relaxed structure of RbTaAu, from OQMD.

Cell lengths 7.4329, 7.4329, 7.4329 Å; angles 90.00, 90.00, 90.00 degrees
Last column: nearest neighbours and their distance in Å.
Space group F-43m (No. 216)
Asymmetric unit:
1 Rb 0.0000 0.0000 0.0000  4 Ta 3.22, 4 Au 3.22
2 Ta 0.2500 0.2500 0.2500  4 Rb 3.22
3 Au 0.2500 0.2500 0.7500  4 Rb 3.22

## Properties
**Electronic total energy**: -3.052 eV per atom